{
  "formula": "Al7Ag5",
  "functional": "meta-GGA SCAN",
  "state": "PBEsol geometry",
  "e_above_lowest_polymorph_ev_per_atom": 0.011,
  "volume_a3_per_atom": 16.17,
  "final_energy_ev_per_atom": -17.65,
  "crystal_system": "orthorhombic",
  "ef_mev_per_atom": -62.5,
  "magnetic_moment_mub_per_fu": 0.0,
  "lattice_angstrom": [[-1.9521, 0.1920, -2.1034], [-1.3134, -7.8565, 0.5016], [-6.0495, 1.3778, 5.7401]],
  "species": ["Al", "Al", "Al", "Al", "Al", "Al", "Al", "Ag", "Ag", "Ag", "Ag", "Ag"],
  "frac_coords": [[0.5000, 0.2441, 0.6667], [0.5000, 0.7640, 0.0000], [0.0000, 0.5080, 0.1662], [0.5000, 0.2441, 0.3333], [0.0000, 0.9839, 0.5000], [0.0000, 0.5080, 0.8338], [0.5000, 0.2568, 0.0000], [0.0000, 0.0102, 0.1671], [0.5000, 0.7456, 0.3304], [0.0000, 0.4795, 0.5000], [0.0000, 0.0102, 0.8329], [0.5000, 0.7456, 0.6696]]
}

---

{
  "formula": "Al6Ag",
  "functional": "meta-GGA SCAN",
  "state": "PBEsol geometry",
  "e_above_lowest_polymorph_ev_per_atom": 0.027,
  "volume_a3_per_atom": 16.29,
  "final_energy_ev_per_atom": -11.13,
  "crystal_system": "trigonal",
  "ef_mev_per_atom": -5.7,
  "magnetic_moment_mub_per_fu": 0.0,
  "lattice_angstrom": [[-1.0387, 0.4158, 4.8017], [-4.0670, -2.3286, -1.5314], [3.1292, -3.8069, 0.1534]],
  "species": ["Al", "Al", "Al", "Al", "Al", "Al", "Ag"],
  "frac_coords": [[0.5736, 0.1455, 0.2854], [0.1455, 0.2854, 0.5736], [0.7146, 0.4264, 0.8545], [0.2854, 0.5736, 0.1455], [0.8545, 0.7146, 0.4264], [0.4264, 0.8545, 0.7146], [0.0000, 0.0000, 0.0000]]
}

---

{
  "formula": "Al3Ag2",
  "functional": "meta-GGA SCAN",
  "state": "PBEsol geometry",
  "e_above_lowest_polymorph_ev_per_atom": 0.025,
  "volume_a3_per_atom": 16.32,
  "final_energy_ev_per_atom": -17.26,
  "crystal_system": "monoclinic",
  "ef_mev_per_atom": -59.4,
  "magnetic_moment_mub_per_fu": 0.0,
  "lattice_angstrom": [[-0.7213, -0.3528, 2.9440], [3.9452, 0.1202, 2.5626], [0.1482, 5.8485, 2.3188]],
  "species": ["Al", "Al", "Al", "Ag", "Ag"],
  "frac_coords": [[0.4017, 0.3014, 0.8951], [0.0000, 0.5000, 0.5000], [0.5983, 0.6986, 0.1049], [0.1958, 0.8990, 0.7094], [0.8042, 0.1010, 0.2906]]
}

---

{
  "formula": "Al3Ag5",
  "functional": "meta-GGA SCAN",
  "state": "PBEsol geometry",
  "e_above_lowest_polymorph_ev_per_atom": 0.021,
  "volume_a3_per_atom": 16.04,
  "final_energy_ev_per_atom": -22.60,
  "crystal_system": "tetragonal",
  "ef_mev_per_atom": -91.8,
  "magnetic_moment_mub_per_fu": 0.0,
  "lattice_angstrom": [[3.9435, 0.0000, 0.0000], [0.0000, 3.9435, 0.0000], [-1.9717, -1.9717, 8.2533]],
  "species": ["Al", "Al", "Al", "Ag", "Ag", "Ag", "Ag", "Ag"],
  "frac_coords": [[0.8786, 0.8786, 0.7572], [0.1214, 0.1214, 0.2428], [0.7500, 0.2500, 0.5000], [0.3707, 0.3707, 0.7414], [0.0001, 0.5001, 0.0003], [0.6293, 0.6293, 0.2586], [0.2500, 0.7500, 0.5000], [0.4999, 0.9999, 0.9997]]
}

---

{
  "formula": "Al2Ag5",
  "functional": "meta-GGA SCAN",
  "state": "PBEsol geometry",
  "e_above_lowest_polymorph_ev_per_atom": 0.036,
  "volume_a3_per_atom": 16.21,
  "final_energy_ev_per_atom": -24.68,
  "crystal_system": "orthorhombic",
  "ef_mev_per_atom": -60.8,
  "magnetic_moment_mub_per_fu": 0.0,
  "lattice_angstrom": [[-0.2815, -0.3887, -2.8325], [2.8325, -2.7484, 0.0957], [-8.1747, -5.4840, 3.0220]],
  "species": ["Al", "Al", "Ag", "Ag", "Ag", "Ag", "Ag"],
  "frac_coords": [[0.0736, 0.5736, 0.1472], [0.9264, 0.4264, 0.8528], [0.3604, 0.8604, 0.7209], [0.7864, 0.2864, 0.5728], [0.2136, 0.7136, 0.4272], [0.6396, 0.1396, 0.2791], [0.5000, 0.0000, 0.0000]]
}

---

{
  "formula": "Al5Ag3",
  "functional": "meta-GGA SCAN",
  "state": "PBEsol geometry",
  "e_above_lowest_polymorph_ev_per_atom": 0.056,
  "volume_a3_per_atom": 16.39,
  "final_energy_ev_per_atom": -16.62,
  "crystal_system": "tetragonal",
  "ef_mev_per_atom": -15.8,
  "magnetic_moment_mub_per_fu": 0.0,
  "lattice_angstrom": [[4.0327, 0.0000, 0.0000], [0.0000, 4.0327, 0.0000], [-2.0163, -2.0163, 8.0632]],
  "species": ["Al", "Al", "Al", "Al", "Al", "Ag", "Ag", "Ag"],
  "frac_coords": [[0.3738, 0.8738, 0.7476], [0.6262, 0.1262, 0.2524], [0.8738, 0.3738, 0.7476], [0.0000, 0.0000, 0.0000], [0.1262, 0.6262, 0.2524], [0.2458, 0.2458, 0.4916], [0.5000, 0.5000, 0.0000], [0.7542, 0.7542, 0.5084]]
}

---

{
  "formula": "AlAg",
  "functional": "meta-GGA SCAN",
  "state": "PBEsol geometry",
  "volume_a3_per_atom": 16.15,
  "final_energy_ev_per_atom": -19.64,
  "crystal_system": "monoclinic",
  "ef_mev_per_atom": -77.7,
  "magnetic_moment_mub_per_fu": 0.0,
  "lattice_angstrom": [[4.8318, -0.0014, 0.0000], [-1.9297, 4.5629, 0.0000], [-1.4511, -2.2807, 5.8626]],
  "species": ["Al", "Al", "Al", "Al", "Ag", "Ag", "Ag", "Ag"],
  "frac_coords": [[0.8125, 0.0625, 0.1250], [0.9369, 0.6869, 0.3737], [0.0631, 0.3131, 0.6263], [0.1875, 0.9375, 0.8750], [0.3123, 0.5623, 0.1246], [0.4347, 0.1847, 0.3695], [0.5653, 0.8153, 0.6305], [0.6877, 0.4377, 0.8754]]
}

---

{
  "formula": "Al3Ag5",
  "functional": "meta-GGA SCAN",
  "state": "PBEsol geometry",
  "e_above_lowest_polymorph_ev_per_atom": 0.058,
  "volume_a3_per_atom": 16.20,
  "final_energy_ev_per_atom": -22.57,
  "crystal_system": "tetragonal",
  "ef_mev_per_atom": -55.2,
  "magnetic_moment_mub_per_fu": 0.0,
  "lattice_angstrom": [[2.8839, 0.0000, 0.0000], [0.0000, 2.8839, 0.0000], [0.0000, 0.0000, 15.5804]],
  "species": ["Al", "Al", "Al", "Ag", "Ag", "Ag", "Ag", "Ag"],
  "frac_coords": [[0.5000, 0.5000, 0.3757], [0.0000, 0.0000, 0.7482], [0.5000, 0.5000, 0.8745], [0.0000, 0.0000, 0.9958], [0.5000, 0.5000, 0.1272], [0.0000, 0.0000, 0.2582], [0.0000, 0.0000, 0.4929], [0.5000, 0.5000, 0.6274]]
}

---

{
  "formula": "AlAg2",
  "functional": "meta-GGA SCAN",
  "state": "PBEsol geometry",
  "volume_a3_per_atom": 16.23,
  "final_energy_ev_per_atom": -23.57,
  "crystal_system": "orthorhombic",
  "ef_mev_per_atom": -79.4,
  "magnetic_moment_mub_per_fu": 0.0,
  "lattice_angstrom": [[2.9667, 0.0000, 0.0000], [0.0000, 3.9168, 0.0000], [0.0000, 0.0000, 8.3800]],
  "species": ["Al", "Al", "Ag", "Ag", "Ag", "Ag"],
  "frac_coords": [[0.0000, 0.0000, 0.0913], [0.5000, 0.5000, 0.9087], [0.0000, 0.0000, 0.7658], [0.5000, 0.5000, 0.5851], [0.0000, 0.0000, 0.4149], [0.5000, 0.5000, 0.2342]]
}

---

{
  "formula": "AlAg",
  "functional": "meta-GGA SCAN",
  "state": "PBEsol geometry",
  "volume_a3_per_atom": 16.11,
  "final_energy_ev_per_atom": -19.69,
  "crystal_system": "orthorhombic",
  "ef_mev_per_atom": -127.8,
  "magnetic_moment_mub_per_fu": 0.0,
  "lattice_angstrom": [[-1.1215, 2.0204, 1.9967], [-3.6080, -1.4190, -0.5907], [0.7365, -3.5330, 3.9886]],
  "species": ["Al", "Al", "Ag", "Ag"],
  "frac_coords": [[0.0000, 0.0000, 0.5113], [0.5000, 0.5000, 0.2387], [0.0000, 0.0000, 0.0162], [0.5000, 0.5000, 0.7338]]
}

---

{
  "formula": "Al5Ag4",
  "functional": "meta-GGA SCAN",
  "state": "PBEsol geometry",
  "e_above_lowest_polymorph_ev_per_atom": 0.014,
  "volume_a3_per_atom": 16.22,
  "final_energy_ev_per_atom": -18.30,
  "crystal_system": "monoclinic",
  "ef_mev_per_atom": -57.0,
  "magnetic_moment_mub_per_fu": 0.0,
  "lattice_angstrom": [[2.8913, 0.0000, 0.0000], [1.4456, 4.7486, 0.0197], [1.4456, 0.7425, 10.6379]],
  "species": ["Al", "Al", "Al", "Al", "Al", "Ag", "Ag", "Ag", "Ag"],
  "frac_coords": [[0.1656, 0.3290, 0.3399], [0.0517, 0.1181, 0.7784], [0.5000, 0.0000, 0.0000], [0.9483, 0.8819, 0.2216], [0.8344, 0.6710, 0.6601], [0.2762, 0.5650, 0.8826], [0.7238, 0.4350, 0.1174], [0.6090, 0.2212, 0.5608], [0.3910, 0.7788, 0.4392]]
}

---

{
  "formula": "Al3Ag5",
  "functional": "meta-GGA SCAN",
  "state": "PBEsol geometry",
  "e_above_lowest_polymorph_ev_per_atom": 0.000,
  "volume_a3_per_atom": 15.92,
  "final_energy_ev_per_atom": -22.62,
  "crystal_system": "orthorhombic",
  "ef_mev_per_atom": -113.1,
  "magnetic_moment_mub_per_fu": 0.0,
  "lattice_angstrom": [[-3.0716, -0.2823, -0.4214], [1.0912, -1.8887, -6.6878], [-0.3239, -4.5147, 5.3848]],
  "species": ["Al", "Al", "Al", "Ag", "Ag", "Ag", "Ag", "Ag"],
  "frac_coords": [[0.5000, 0.7314, 0.2686], [0.5000, 0.0000, 0.0000], [0.5000, 0.2686, 0.7314], [0.0000, 0.9066, 0.6459], [0.5000, 0.5000, 0.5000], [0.0000, 0.0934, 0.3541], [0.0000, 0.3541, 0.0934], [0.0000, 0.6459, 0.9066]]
}

---

What is the formula in the tenth record? AlAg